No. 1
AcGdHoPb | the Alexandria database | PBE | relaxed; raw total energy = -26.89 eV per cell
1.0
0.000 4.040 4.040
4.040 0.000 4.040
4.040 4.040 0.000
Ac Gd Ho Pb
1 1 1 1
Direct
0.000 0.000 0.000
0.500 0.500 0.500
0.750 0.750 0.750
0.250 0.250 0.250

No. 2
Ba2TeICl | the Alexandria database | PBE | relaxed; formation energy without anion corrections = -44.07 kcal/mol of atoms
1.0
5.901 0.000 0.000
-2.950 5.110 0.000
0.000 0.000 7.020
Ba Te I Cl
2 1 1 1
Direct
0.000 0.000 0.000
0.333 0.667 0.526
0.000 0.000 0.481
0.667 0.333 0.827
0.333 0.667 0.076

No. 3
Rb2NaAgAu | the Alexandria database | PBE | relaxed; energy relative to the lowest polymorph listed for this composition = 16 meV per atom
1.0
6.570 0.000 0.000
0.000 6.570 0.000
0.000 0.000 5.625
Rb Na Ag Au
2 1 1 1
Direct
0.000 0.500 0.000
0.500 0.000 0.000
0.000 0.000 0.500
0.500 0.500 0.500
0.000 0.000 0.000

Calculated volume, respectively: 32.98; 42.34; 48.55 Å³ per atom.